Here is a relaxed Ho2Hf2Mo7O28 crystal from Alexandria. Energies are from PBE with a Hubbard U.

Summary:
**Calculated total energy**: -302.8 eV per formula unit

a = 11.695 Å, b = 11.695 Å, c = 14.003 Å
α = 109.80°, β = 109.80°, γ = 50.53°
Sites, in units of the cell vectors:
Ho: 0.125 0.145 0.432
Ho: 0.145 0.125 0.932
Ho: 0.855 0.875 0.068
Ho: 0.875 0.855 0.568
Hf: 0.350 0.414 0.311
Hf: 0.414 0.350 0.811
Hf: 0.586 0.650 0.189
Hf: 0.650 0.586 0.689
Mo: 0.018 0.494 0.670
Mo: 0.072 0.808 0.353
Mo: 0.192 0.928 0.147
Mo: 0.223 0.456 0.022
Mo: 0.290 0.710 0.750
Mo: 0.456 0.223 0.522
Mo: 0.494 0.018 0.170
Mo: 0.506 0.982 0.830
Mo: 0.544 0.777 0.478
Mo: 0.710 0.290 0.250
Mo: 0.777 0.544 0.978
Mo: 0.808 0.072 0.853
Mo: 0.928 0.192 0.647
Mo: 0.982 0.506 0.330
O: 0.019 0.202 0.777
O: 0.037 0.162 0.566
O: 0.042 0.914 0.116
O: 0.044 0.329 0.342
O: 0.058 0.372 0.551
O: 0.066 0.643 0.008
O: 0.086 0.958 0.384
O: 0.129 0.484 0.290
O: 0.130 0.751 0.655
O: 0.162 0.037 0.066
O: 0.168 0.334 0.966
O: 0.192 0.417 0.764
O: 0.202 0.019 0.277
O: 0.249 0.870 0.845
O: 0.266 0.634 0.368
O: 0.300 0.438 0.157
O: 0.329 0.044 0.842
O: 0.334 0.168 0.466
O: 0.350 0.560 0.812
O: 0.357 0.934 0.492
O: 0.366 0.734 0.132
O: 0.368 0.398 0.956
O: 0.372 0.058 0.051
O: 0.398 0.368 0.456
O: 0.417 0.192 0.264
O: 0.438 0.300 0.657
O: 0.440 0.650 0.688
O: 0.484 0.129 0.790
O: 0.516 0.871 0.210
O: 0.560 0.350 0.312
O: 0.562 0.700 0.343
O: 0.583 0.808 0.736
O: 0.602 0.632 0.544
O: 0.628 0.942 0.949
O: 0.632 0.602 0.044
O: 0.634 0.266 0.868
O: 0.643 0.066 0.508
O: 0.650 0.440 0.188
O: 0.666 0.832 0.534
O: 0.671 0.956 0.158
O: 0.700 0.562 0.843
O: 0.734 0.366 0.632
O: 0.751 0.130 0.155
O: 0.798 0.981 0.723
O: 0.808 0.583 0.236
O: 0.832 0.666 0.034
O: 0.838 0.963 0.934
O: 0.870 0.249 0.345
O: 0.871 0.516 0.710
O: 0.914 0.042 0.616
O: 0.934 0.357 0.992
O: 0.942 0.628 0.449
O: 0.956 0.671 0.658
O: 0.958 0.086 0.884
O: 0.963 0.838 0.434
O: 0.981 0.798 0.223